A relaxed structure of SrNiSe2O6. Source: Alexandria, functional PBE+U.

* calculated total energy: -5.34 eV per atom
* V: 145 Å³ per cell
* theoretical density: 4.59 Mg/m³
* symmetry: No. 148
* N(E_F): 0.000 states/eV per cell

Lattice parameters (Å, degrees): 5.4151 5.4151 6.5021 65.39 65.39 60.00
Site moments in Bohr magnetons follow the coordinates.
Element x y z (fractional)
Sr 0.0000 0.0000 0.0000  0.00
Ni 0.5000 0.5000 0.5000  1.80
Se 0.7268 0.7268 0.8196  0.02
Se 0.2732 0.2732 0.1804  0.02
O 0.0787 0.4802 0.7110  0.02
O 0.7301 0.0787 0.7110  0.02
O 0.5198 0.2699 0.2890  0.02
O 0.9213 0.5198 0.2890  0.02
O 0.2699 0.9213 0.2890  0.02
O 0.4802 0.7301 0.7110  0.02